(1)
Entry from the Alexandria database: an optimized crystal structure of Ac4OsPd (GGA-PBE).

Cell: 4.4586 7.1528 7.7036 Å, 100.80 90.00 108.05°
Sites, in units of the cell vectors:
Ac (0.1171, 0.2356, 0.3862)
Ac (0.3825, 0.7633, 0.1380)
Ac (0.6175, 0.2367, 0.8620)
Ac (0.8829, 0.7644, 0.6138)
Os (0.5000, 0.0000, 0.5000)
Pd (0.0000, 0.0000, 0.0000)

Calculated values
ΔE_f, meV/atom: -296.3
Space-group type: P-1 (2)



(2)
Entry from the Alexandria database: an optimized crystal structure of SmBe2Pt6 (GGA-PBE).

Cell: 7.6874 7.6874 7.6874 Å, 60.00 60.00 60.00°
Sites, in units of the cell vectors:
Sm (0.1250, 0.1250, 0.1250)
Sm (0.8750, 0.8750, 0.8750)
Be (0.0000, 0.5000, 0.5000)
Be (0.5000, 0.0000, 0.5000)
Be (0.5000, 0.5000, 0.0000)
Be (0.5000, 0.5000, 0.5000)
Pt (0.1383, 0.1383, 0.6117)
Pt (0.1383, 0.6117, 0.1383)
Pt (0.1383, 0.6117, 0.6117)
Pt (0.3883, 0.3883, 0.8617)
Pt (0.3883, 0.8617, 0.3883)
Pt (0.3883, 0.8617, 0.8617)
Pt (0.6117, 0.1383, 0.1383)
Pt (0.6117, 0.1383, 0.6117)
Pt (0.6117, 0.6117, 0.1383)
Pt (0.8617, 0.3883, 0.3883)
Pt (0.8617, 0.3883, 0.8617)
Pt (0.8617, 0.8617, 0.3883)

Calculated values
ΔE_f, meV/atom: -470.4
Space-group type: Fd-3m (227)



(3)
Entry from the Alexandria database: an optimized crystal structure of MgAsIr2 (GGA-PBE).

Cell: 2.9724 2.9724 24.7006 Å, 90.00 90.00 120.00°
Sites, in units of the cell vectors:
Mg (0.0000, 0.0000, 0.0000)
Mg (0.3333, 0.6667, 0.6667)
Mg (0.6667, 0.3333, 0.3333)
As (0.0000, 0.0000, 0.5000)
As (0.3333, 0.6667, 0.1667)
As (0.6667, 0.3333, 0.8333)
Ir (0.0000, 0.0000, 0.2441)
Ir (0.0000, 0.0000, 0.7559)
Ir (0.3333, 0.6667, 0.4225)
Ir (0.3333, 0.6667, 0.9108)
Ir (0.6667, 0.3333, 0.0892)
Ir (0.6667, 0.3333, 0.5775)

Calculated values
ΔE_f, meV/atom: -46.5
Space-group type: R-3m (166)



(4)
Entry from the Alexandria database: an optimized crystal structure of CaCuHg2 (GGA-PBE).

Cell: 4.4900 4.4900 4.5230 Å, 90.00 90.00 90.00°
Sites, in units of the cell vectors:
Ca (0.0000, 0.0000, 0.0000)
Cu (0.5000, 0.5000, 0.0000)
Hg (0.0000, 0.5000, 0.5000)
Hg (0.5000, 0.0000, 0.5000)

Calculated values
ΔE_f, meV/atom: -146.2
Space-group type: P4/mmm (123)



(5)
Entry from the Alexandria database: an optimized crystal structure of K3Zn4As4 (GGA-PBE).

Cell: 8.4557 8.4557 8.4557 Å, 143.94 134.22 59.61°
Sites, in units of the cell vectors:
K (0.0000, 0.0000, 0.0000)
K (0.3807, 0.8807, 0.5000)
K (0.6193, 0.1193, 0.5000)
Zn (0.0313, 0.3330, 0.6982)
Zn (0.3652, 0.6670, 0.6982)
Zn (0.6348, 0.3330, 0.3018)
Zn (0.9687, 0.6670, 0.3018)
As (0.2220, 0.2220, 0.0000)
As (0.3090, 0.5000, 0.8090)
As (0.6910, 0.5000, 0.1910)
As (0.7780, 0.7780, 0.0000)

Calculated values
ΔE_f, meV/atom: -269.9
Space-group type: Immm (71)



(6)
Entry from the Alexandria database: an optimized crystal structure of K2NpPdSe4 (GGA-PBE).

Cell: 6.5366 4.2446 8.1745 Å, 90.00 108.24 90.00°
Sites, in units of the cell vectors:
K (0.0000, 0.0000, 0.0000)
K (0.5000, 0.5000, 0.0000)
Np (0.0000, 0.5000, 0.5000)
Pd (0.5000, 0.0000, 0.5000)
Se (0.2494, 0.0000, 0.6999)
Se (0.2713, 0.5000, 0.3042)
Se (0.7287, 0.5000, 0.6958)
Se (0.7506, 0.0000, 0.3001)

Calculated values
Raw total energy, eV/cell: -41.571
Space-group type: P2/m (10)



(7)
Entry from the Alexandria database: an optimized crystal structure of La2MnSi3Ni12 (GGA-PBE).

Cell: 6.3188 6.3188 6.3188 Å, 84.31 84.31 84.31°
Sites, in units of the cell vectors:
La (0.1394, 0.1394, 0.1394)
La (0.8606, 0.8606, 0.8606)
Mn (0.5000, 0.5000, 0.5000)
Si (0.0000, 0.5000, 0.5000)
Si (0.5000, 0.0000, 0.5000)
Si (0.5000, 0.5000, 0.0000)
Ni (0.1221, 0.1221, 0.5846)
Ni (0.1221, 0.5846, 0.1221)
Ni (0.1997, 0.6874, 0.6874)
Ni (0.3126, 0.3126, 0.8003)
Ni (0.3126, 0.8003, 0.3126)
Ni (0.4154, 0.8779, 0.8779)
Ni (0.5846, 0.1221, 0.1221)
Ni (0.6874, 0.1997, 0.6874)
Ni (0.6874, 0.6874, 0.1997)
Ni (0.8003, 0.3126, 0.3126)
Ni (0.8779, 0.4154, 0.8779)
Ni (0.8779, 0.8779, 0.4154)

Calculated values
Raw total energy, eV/cell: -106.400
Space-group type: R-3m (166)



(8)
Entry from the Alexandria database: an optimized crystal structure of MgAlCoRh (GGA-PBE).

Cell: 5.9854 5.9854 5.9854 Å, 90.00 90.00 90.00°
Sites, in units of the cell vectors:
Mg (0.0000, 0.0000, 0.0000)
Mg (0.0000, 0.5000, 0.5000)
Mg (0.5000, 0.0000, 0.5000)
Mg (0.5000, 0.5000, 0.0000)
Al (0.0000, 0.0000, 0.5000)
Al (0.0000, 0.5000, 0.0000)
Al (0.5000, 0.0000, 0.0000)
Al (0.5000, 0.5000, 0.5000)
Co (0.2500, 0.2500, 0.7500)
Co (0.2500, 0.7500, 0.2500)
Co (0.7500, 0.2500, 0.2500)
Co (0.7500, 0.7500, 0.7500)
Rh (0.2500, 0.2500, 0.2500)
Rh (0.2500, 0.7500, 0.7500)
Rh (0.7500, 0.2500, 0.7500)
Rh (0.7500, 0.7500, 0.2500)

Calculated values
ΔE_f, meV/atom: -518.4
Space-group type: F-43m (216)



Number 1: V 38.2 Å³ per atom. Number 2: V 17.8 Å³ per atom. Number 3: V 15.7 Å³ per atom. Number 4: V 22.8 Å³ per atom. Number 5: V 23.0 Å³ per atom. Number 6: V 26.9 Å³ per atom. Number 7: V 13.8 Å³ per atom. Number 8: V 13.4 Å³ per atom.